The following is a DFT calculation (PBE-GGA) of a relaxed Sc2ReTc crystal.

For the density of states at the Fermi level, the calculation gives 23.9 states/eV per cell. The value obtained for the total magnetization is 0.000 μB/atom. The formation energy comes out at 0.066 eV/atom. Its relative energy among the computed polymorphs is 0.225 eV/atom.

The structure belongs to space group Fm-3m (No. 225); the cell edges are 6.4969, 6.4969 and 6.4969 Å and the angles 90.00°, 90.00° and 90.00°. The distinct sites, in fractional coordinates, are Sc at (0.2500, 0.2500, 0.2500), Re at (0.0000, 0.0000, 0.0000) and Tc at (0.0000, 0.0000, 0.5000).

***

The following is a DFT calculation (PBE-GGA) of a relaxed Ni8Ge3H2 crystal.

For the density of states at the Fermi level, the calculation gives 16.6 states/eV per cell. The value obtained for the total magnetization is 0.000 μB/atom. Its energy is -5.31 eV/atom.

The structure belongs to space group R-3m (No. 166, hexagonal axes); the cell edges are 4.9392, 4.9392 and 19.8110 Å and the angles 90.00°, 90.00° and 120.00°. The distinct sites, in fractional coordinates, are Ni at (0.0000, 0.0000, 0.1861), Ni at (0.0009, 0.5005, 0.2677), Ge at (0.0000, 0.0000, 0.3007), Ge at (0.0000, 0.0000, 0.5000) and H at (0.0000, 0.0000, 0.1050).

***

The following is a DFT calculation (PBE-GGA) of a relaxed Li3AsPd4 crystal.

For the density of states at the Fermi level, the calculation gives 4.5 states/eV per cell. The value obtained for the total magnetization is 0.000 μB/atom. The formation energy comes out at -0.509 eV/atom. Its relative energy among the computed polymorphs is 0.006 eV/atom.

The structure belongs to space group Pmn2_1 (No. 31); the cell edges are 9.0322, 4.7792 and 5.3268 Å and the angles 90.00°, 90.00° and 90.00°. The distinct sites, in fractional coordinates, are Li at (0.0000, 0.1962, 0.0000), Li at (0.2491, 0.5096, 0.4690), As at (0.0000, 0.7139, 0.6995), Pd at (0.0000, 0.2221, 0.5017), Pd at (0.0000, 0.7105, 0.1951) and Pd at (0.2402, 0.9690, 0.7522).

***

The following is a DFT calculation (PBE-GGA) of a relaxed YGa3B crystal.

For the density of states at the Fermi level, the calculation gives 1.9 states/eV per cell. The value obtained for the total magnetization is 0.000 μB/atom. The formation energy comes out at 0.146 eV/atom. Its relative energy among the computed polymorphs is 0.000 eV/atom.

The structure belongs to space group Pm-3m (No. 221); the cell edges are 4.4800, 4.4800 and 4.4800 Å and the angles 90.00°, 90.00° and 90.00°. The distinct sites, in fractional coordinates, are Y at (0.0000, 0.0000, 0.0000), Ga at (0.0000, 0.5000, 0.5000) and B at (0.5000, 0.5000, 0.5000).

***

The following is a DFT calculation (PBE-GGA) of a relaxed YErAlTl crystal.

For the density of states at the Fermi level, the calculation gives 1.6 states/eV per cell. The value obtained for the total magnetization is 0.000 μB/atom. The formation energy comes out at -0.366 eV/atom. Its relative energy among the computed polymorphs is 0.000 eV/atom.

The structure belongs to space group P4mm (No. 99); the cell edges are 3.6121, 3.6121 and 7.7422 Å and the angles 90.00°, 90.00° and 90.00°. The distinct sites, in fractional coordinates, are Y at (0.0000, 0.0000, 0.0000), Er at (0.0000, 0.0000, 0.4702), Al at (0.5000, 0.5000, 0.2377) and Tl at (0.5000, 0.5000, 0.7314).

***

The following is a DFT calculation (PBE-GGA) of a relaxed Tb2CeTl crystal.

For the density of states at the Fermi level, the calculation gives 9.4 states/eV per cell. The value obtained for the total magnetization is 0.077 μB/atom. The formation energy comes out at -0.094 eV/atom. Its relative energy among the computed polymorphs is 0.047 eV/atom.

The structure belongs to space group C2/m (No. 12); the cell edges are 6.1363, 3.5463 and 11.0498 Å and the angles 90.00°, 100.75° and 90.00°. The distinct sites, in fractional coordinates, are Tb at (0.2474, 0.0000, 0.2436), Ce at (0.0000, 0.0000, 0.5000) and Tl at (0.0000, 0.5000, 0.0000).

***

The following is a DFT calculation (PBE-GGA) of a relaxed LaPm3Tm2Se6 crystal.

For the density of states at the Fermi level, the calculation gives 11.6 states/eV per cell. The value obtained for the total magnetization is 0.000 μB/atom. The calculation puts the uncorrected formation energy at -21.7 eV/f.u.

The structure belongs to space group C2/m (No. 12); the cell edges are 7.1738, 12.4741 and 7.2277 Å and the angles 90.00°, 109.45° and 90.00°. The distinct sites, in fractional coordinates, are La at (0.0000, 0.0000, 0.0000), Pm at (0.0000, 0.1580, 0.5000), Pm at (0.0000, 0.5000, 0.5000), Tm at (0.0000, 0.3331, 0.0000), Se at (0.2295, 0.5000, 0.2352) and Se at (0.2446, 0.3255, 0.7565).

***

The following is a DFT calculation (PBE-GGA) of a relaxed CaMo2Pt crystal.

For the density of states at the Fermi level, the calculation gives 6.0 states/eV per cell. The value obtained for the total magnetization is 0.000 μB/atom. The formation energy comes out at 0.229 eV/atom. Its relative energy among the computed polymorphs is 0.179 eV/atom.

The structure belongs to space group Cm (No. 8); the cell edges are 10.1355, 2.7731 and 5.5408 Å and the angles 90.00°, 109.47° and 90.00°. The distinct sites, in fractional coordinates, are Ca at (0.0000, 0.0000, 0.0000), Mo at (0.0715, 0.5000, 0.5294), Mo at (0.2941, 0.5000, 0.3968) and Pt at (0.2518, 0.0000, 0.9362).

***

The following is a DFT calculation (PBE-GGA) of a relaxed Cr2TcMo crystal.

For the density of states at the Fermi level, the calculation gives 9.2 states/eV per cell. The value obtained for the total magnetization is 0.000 μB/atom. The formation energy comes out at 0.106 eV/atom. Its relative energy among the computed polymorphs is 0.049 eV/atom.

The structure belongs to space group C2/m (No. 12); the cell edges are 5.2384, 8.3950 and 2.6260 Å and the angles 90.00°, 109.67° and 90.00°. The distinct sites, in fractional coordinates, are Cr at (0.2500, 0.2500, 0.0000), Tc at (0.0000, 0.0000, 0.5000) and Mo at (0.0000, 0.5000, 0.5000).

***

The following is a DFT calculation (PBE-GGA) of a relaxed Ce3DyPu2S6 crystal.

For the density of states at the Fermi level, the calculation gives 54.3 states/eV per cell. The value obtained for the total magnetization is 1.093 μB/atom. The calculation puts the uncorrected formation energy at -23.4 eV/f.u.

The structure belongs to space group C2/m (No. 12); the cell edges are 6.8776, 11.9178 and 6.9100 Å and the angles 90.00°, 109.39° and 90.00°. The distinct sites, in fractional coordinates, are Ce at (0.0000, 0.0000, 0.0000), Ce at (0.0000, 0.3328, 0.0000), Dy at (0.0000, 0.5000, 0.5000), Pu at (0.0000, 0.1664, 0.5000), S at (0.2462, 0.3340, 0.7408) and S at (0.2488, 0.0000, 0.7420).

***

The following is a DFT calculation (PBE-GGA) of a relaxed La4HCN2 crystal.

For the density of states at the Fermi level, the calculation gives 4.7 states/eV per cell. The value obtained for the total magnetization is 0.000 μB/atom. Its energy is -6.87 eV/atom.

The structure belongs to space group I4/mmm (No. 139); the cell edges are 5.3386, 5.3386 and 10.6390 Å and the angles 90.00°, 90.00° and 90.00°. The distinct sites, in fractional coordinates, are La at (0.0000, 0.0000, 0.2422), La at (0.0000, 0.5000, 0.0000), H at (0.0000, 0.0000, 0.5000), C at (0.0000, 0.0000, 0.0000) and N at (0.0000, 0.5000, 0.2500).

***

The following is a DFT calculation (PBE-GGA) of a relaxed Pm4Al2Hg5 crystal.

For the density of states at the Fermi level, the calculation gives 7.2 states/eV per cell. The value obtained for the total magnetization is 0.000 μB/atom. The formation energy comes out at -0.404 eV/atom.

The structure belongs to space group P2/m (No. 10); the cell edges are 7.9918, 3.8009 and 9.5469 Å and the angles 90.00°, 94.44° and 90.00°. The distinct sites, in fractional coordinates, are Pm at (0.2105, 0.0000, 0.1410), Pm at (0.2574, 0.0000, 0.6178), Al at (0.0662, 0.5000, 0.3809), Hg at (0.1289, 0.5000, 0.8717), Hg at (0.4091, 0.5000, 0.3593) and Hg at (0.5000, 0.5000, 0.0000).

***

The following is a DFT calculation (PBE-GGA) of a relaxed PmAgSnCl6 crystal.

For the density of states at the Fermi level, the calculation gives 0.0 states/eV per cell. The value obtained for the total magnetization is 0.000 μB/atom. The calculation puts the uncorrected formation energy at -12.8 eV/f.u.

The structure belongs to space group P4_2nm (No. 102); the cell edges are 6.5800, 6.5800 and 12.6227 Å and the angles 90.00°, 90.00° and 90.00°. The distinct sites, in fractional coordinates, are Pm at (0.0000, 0.0000, 0.0000), Ag at (0.0000, 0.0000, 0.3333), Sn at (0.0000, 0.0000, 0.6661), Cl at (0.1930, 0.1930, 0.1648), Cl at (0.1965, 0.1965, 0.8396) and Cl at (0.2047, 0.2047, 0.4956).

***

The following is a DFT calculation (PBE-GGA) of a relaxed RhSe7 crystal.

For the density of states at the Fermi level, the calculation gives 41.6 states/eV per cell. The value obtained for the total magnetization is 0.000 μB/atom. The calculation puts the uncorrected formation energy at 5.7 eV/f.u.

The structure belongs to space group Fm-3m (No. 225); the cell edges are 8.5303, 8.5303 and 8.5303 Å and the angles 90.00°, 90.00° and 90.00°. The distinct sites, in fractional coordinates, are Rh at (0.0000, 0.0000, 0.0000), Se at (0.0000, 0.0000, 0.5000) and Se at (0.0000, 0.2500, 0.2500).

***

The following is a DFT calculation (PBE-GGA) of a relaxed LaZrSbMo2 crystal.

For the density of states at the Fermi level, the calculation gives 6.5 states/eV per cell. The value obtained for the total magnetization is 0.000 μB/atom. The calculation puts the uncorrected formation energy at 5.2 eV/f.u.

The structure belongs to space group P4/mmm (No. 123); the cell edges are 5.0338, 5.0338 and 5.2818 Å and the angles 90.00°, 90.00° and 90.00°. The distinct sites, in fractional coordinates, are La at (0.0000, 0.0000, 0.0000), Zr at (0.5000, 0.5000, 0.0000), Sb at (0.5000, 0.5000, 0.5000) and Mo at (0.0000, 0.5000, 0.5000).